Entry from Alexandria: a relaxed NiBi2AuO crystal (PBEsol).

a = 3.4192 Å, b = 5.3353 Å, c = 5.3353 Å
α = 90.00°, β = 90.00°, γ = 90.00°
With the nearest neighbours (Å) after each atom.
Sites, in units of the cell vectors:
Ni (0.0000, 0.0000, 0.0000)  2 O 1.71
Au (0.5000, 0.5000, 0.5000)  8 Bi 3.17, 2 Au 3.42
Bi (0.0000, 0.0000, 0.5000)  2 Ni 2.67
Bi (0.0000, 0.5000, 0.0000)  2 Ni 2.67
O (0.5000, 0.0000, 0.0000)  2 Ni 1.71

Values from the calculation:
Raw total energy ... -4.9696 eV per atom
ρ ... 11.766 Mg/m³
E_form (uncorrected) ... -0.189 eV/atom